The following is a PBE calculation of ErThMnNi after structural relaxation, from Alexandria.

```
4
Lattice="-0.2214 0.4590 -4.8703 1.8895 -3.4839 -2.8761 -2.9649 -2.9027 -2.6006" Properties=species:S:1:pos:R:3 pbc="T T T"
Ni 0.0000 0.0000 0.0000
Th -0.3242 -1.4819 -2.5867
Mn -0.6484 -2.9638 -5.1735
Er -0.9726 -4.4457 -7.7602
```

Results
crystal system	cubic
density	10.26	g/cm3
total moment	2.27	μB/f.u.


The following is a PBE calculation of ErTmMnNi after structural relaxation, from Alexandria.

```
4
Lattice="4.8232 0.0000 0.0000 2.4116 4.1770 0.0000 2.4116 1.3923 3.9381" Properties=species:S:1:pos:R:3 pbc="T T T"
Mn 7.2348 4.1770 2.9536
Ni 2.4116 1.3923 0.9845
Er 4.8232 2.7847 1.9691
Tm 0.0000 0.0000 0.0000
```

Results
crystal system	cubic
density	9.41	g/cm3
total moment	3.30	μB/f.u.


no.,E (eV per cell)
1,-27.02
2,-24.22